Below is an optimized crystal structure of LiCeZn10, with properties calculated at the PBE level.

Summary:
The crystal system is orthorhombic. The space group is Pmmm. The formation enthalpy at 0 K comes out at -1.87 eV/f.u.

Cell lengths 4.328, 5.147, 9.235 Å; angles 90.00, 90.00, 90.00 degrees
Each line ends with the local moment (μB).
Sites, in units of the cell vectors:
Li1 0.000 0.500 0.500  0.00
Ce1 0.000 0.000 0.000  0.66
Zn1 0.000 0.000 0.349  0.00
Zn2 0.000 0.500 0.803  0.01
Zn3 0.000 0.500 0.197  0.01
Zn4 0.000 0.000 0.651  0.00
Zn5 0.500 0.000 0.500  0.00
Zn6 0.500 0.500 0.000  0.00
Zn7 0.500 0.242 0.240  0.00
Zn8 0.500 0.758 0.760  0.00
Zn9 0.500 0.758 0.240  0.00
Zn10 0.500 0.242 0.760  0.00